PrGdMg2 | the Open Quantum Materials Database | PBE-GGA | relaxed; ΔE to the lowest computed polymorph = 0 meV/atom
1.0
0.0000 3.8581 3.8581
3.8581 0.0000 3.8581
3.8581 3.8581 0.0000
Pr Gd Mg
1 1 2
Direct
0.0000 0.0000 0.0000 Pr
0.5000 0.5000 0.5000 Gd
0.2500 0.2500 0.2500 Mg
0.7500 0.7500 0.7500 Mg

NbZnCoAs | the Open Quantum Materials Database | PBE-GGA | relaxed; ΔE to the lowest computed polymorph = 169 meV/atom
1.0
0.0000 3.1093 3.1093
3.1093 0.0000 3.1093
3.1093 3.1093 0.0000
Nb Zn Co As
1 1 1 1
Direct
0.0000 0.0000 0.0000 Nb
0.2500 0.2500 0.2500 Zn
0.7500 0.7500 0.7500 Co
0.5000 0.5000 0.5000 As

TbSeS | the Open Quantum Materials Database | PBE-GGA | relaxed; ΔE to the lowest computed polymorph = 455 meV/atom
1.0
2.0716 -10.2165 0.0000
2.0716 10.2165 0.0000
0.0000 0.0000 7.2042
Tb Se S
2 2 2
Direct
0.0000 0.0000 0.0000 Tb
0.5000 0.5000 0.4865 Tb
0.0746 0.9254 0.6606 Se
0.9254 0.0746 0.6606 Se
0.4310 0.5690 0.1601 S
0.5690 0.4310 0.1601 S

LaAlCuAu | the Open Quantum Materials Database | PBE-GGA | relaxed; ΔE to the lowest computed polymorph = 0 meV/atom
1.0
0.0000 3.4682 3.4682
3.4682 0.0000 3.4682
3.4682 3.4682 0.0000
La Al Cu Au
1 1 1 1
Direct
0.0000 0.0000 0.0000 La
0.5000 0.5000 0.5000 Al
0.2500 0.2500 0.2500 Cu
0.7500 0.7500 0.7500 Au

Computed, not measured: a geometry-optimized Li4ZnSeO6 structure at the PBE-GGA level of DFT.

Geometry as POSCAR:
```
Li4ZnSeO6
1.0
2.5495 -4.3742 0.0000
2.5495 4.3742 0.0000
-1.7841 0.0000 4.6954
Li Zn Se O
4 1 1 6
Direct
0.0000 0.0000 0.0000 Li
0.3437 0.6563 0.0000 Li
0.6680 0.3320 0.0000 Li
0.8362 0.1638 0.5000 Li
0.1706 0.8294 0.5000 Zn
0.5042 0.4958 0.5000 Se
0.1322 0.4224 0.2667 O
0.2836 0.2771 0.7179 O
0.4264 0.1247 0.2666 O
0.5776 0.8678 0.7333 O
0.7229 0.7164 0.2821 O
0.8753 0.5736 0.7334 O
```

Computed, not measured: a geometry-optimized Sm2MgNi2 structure at the PBE-GGA level of DFT.

Geometry as POSCAR:
```
Sm2MgNi2
1.0
7.4152 0.0000 0.0000
0.0000 7.4152 0.0000
0.0000 0.0000 3.8263
Sm Mg Ni
4 2 4
Direct
0.1743 0.3257 0.0000 Sm
0.3257 0.8257 0.0000 Sm
0.6743 0.1743 0.0000 Sm
0.8257 0.6743 0.0000 Sm
0.0000 0.0000 0.5000 Mg
0.5000 0.5000 0.5000 Mg
0.1194 0.6194 0.5000 Ni
0.3806 0.1194 0.5000 Ni
0.6194 0.8806 0.5000 Ni
0.8806 0.3806 0.5000 Ni
```

Computed, not measured: a geometry-optimized HfFeBr6 structure at the PBE-GGA level of DFT.

Geometry as POSCAR:
```
HfFeBr6
1.0
3.3057 -5.7677 0.0000
3.3057 5.7677 0.0000
-0.0898 0.0000 13.1778
Hf Fe Br
2 2 12
Direct
0.1736 0.8264 0.7500 Hf
0.8264 0.1736 0.2500 Hf
0.4925 0.5075 0.7500 Fe
0.5075 0.4925 0.2500 Fe
0.1632 0.4764 0.3655 Br
0.1684 0.1899 0.1381 Br
0.1854 0.5201 0.8690 Br
0.1899 0.1684 0.6381 Br
0.4764 0.1632 0.8655 Br
0.4799 0.8146 0.6310 Br
0.5201 0.1854 0.3690 Br
0.5236 0.8368 0.1345 Br
0.8101 0.8316 0.3619 Br
0.8146 0.4799 0.1310 Br
0.8316 0.8101 0.8619 Br
0.8368 0.5236 0.6345 Br
```

Computed, not measured: a geometry-optimized Sr2BeOsO6 structure at the PBE-GGA level of DFT.

Geometry as POSCAR:
```
Sr2BeOsO6
1.0
0.0000 3.8046 3.8046
3.8046 0.0000 3.8046
3.8046 3.8046 0.0000
Sr Be Os O
2 1 1 6
Direct
0.2500 0.2500 0.2500 Sr
0.7500 0.7500 0.7500 Sr
0.0000 0.0000 0.0000 Be
0.5000 0.5000 0.5000 Os
0.2451 0.2451 0.7549 O
0.2451 0.7549 0.2451 O
0.2451 0.7549 0.7549 O
0.7549 0.2451 0.2451 O
0.7549 0.2451 0.7549 O
0.7549 0.7549 0.2451 O
```

Computed, not measured: a geometry-optimized LiY2Pd structure at the PBE-GGA level of DFT.

Geometry as POSCAR:
```
LiY2Pd
1.0
0.0000 3.4768 3.4768
3.4768 0.0000 3.4768
3.4768 3.4768 0.0000
Li Y Pd
1 2 1
Direct
0.0000 0.0000 0.0000 Li
0.5000 0.5000 0.5000 Y
0.7500 0.7500 0.7500 Y
0.2500 0.2500 0.2500 Pd
```

ErZr2 | the Open Quantum Materials Database | PBE-GGA | relaxed; ΔE_f = 37 meV per atom
1.0
5.2492 0.0000 0.0000
0.0000 9.9935 0.0000
0.0000 0.0000 5.7900
Er Zr
4 8
Direct
0.2500 0.0851 0.0884 Er
0.2500 0.4149 0.0884 Er
0.7500 0.5851 0.9116 Er
0.7500 0.9149 0.9116 Er
0.2500 0.2500 0.5885 Zr
0.2500 0.5897 0.5709 Zr
0.2500 0.7500 0.0989 Zr
0.2500 0.9103 0.5709 Zr
0.7500 0.0897 0.4291 Zr
0.7500 0.2500 0.9011 Zr
0.7500 0.4103 0.4291 Zr
0.7500 0.7500 0.4115 Zr

Computed, not measured: a geometry-optimized BaDyCuSe2S structure at the PBE-GGA level of DFT.

Geometry as POSCAR:
```
BaDyCuSe2S
1.0
2.0604 -7.0161 0.0000
2.0604 7.0161 0.0000
0.0000 0.0000 10.3947
Ba Dy Cu Se S
2 2 2 4 2
Direct
0.2366 0.7634 0.7500 Ba
0.7634 0.2366 0.2500 Ba
0.5000 0.5000 0.0000 Dy
0.5000 0.5000 0.5000 Dy
0.0282 0.9718 0.2500 Cu
0.9718 0.0282 0.7500 Cu
0.1360 0.8640 0.0607 Se
0.1360 0.8640 0.4393 Se
0.8640 0.1360 0.5607 Se
0.8640 0.1360 0.9393 Se
0.4375 0.5625 0.2500 S
0.5625 0.4375 0.7500 S
```

Computed, not measured: a geometry-optimized TbYTlCu2 structure at the PBE-GGA level of DFT.

Geometry as POSCAR:
```
TbYTlCu2
1.0
3.6396 0.0000 0.0000
0.0000 2.1364 7.0692
0.0000 -2.1364 7.0692
Tb Y Tl Cu
1 1 1 2
Direct
0.0000 0.0000 0.0000 Tb
0.0000 0.2689 0.2689 Y
0.5000 0.6345 0.6345 Tl
0.5000 0.4314 0.4314 Cu
0.5000 0.8376 0.8376 Cu
```

We obtain DFT total energy values of -3.23, -5.52, -5.29, -4.34, -5.04, -4.76, -4.56, -6.85, -5.17, -7.18, -5.19, -4.50 eV per atom for the records listed above, in that order.